The following is a DFT calculation (PBE) of a relaxed structure of CrIr2W.

abc: 4.736 4.736 4.736
angles: 132.07 132.07 70.12
Positions (direct):
Cr 0.000 0.000 0.000
Ir 0.250 0.750 0.500
Ir 0.500 0.500 0.000
W 0.750 0.250 0.500

Summary:
Excess energy over the best structure of this formula in the dataset: 82 meV/atom
Formation enthalpy at 0 K: -0.16 eV/atom
Space group: No. 119
D(E_F): 3.65 states/eV per cell
Magnetization: 1.2 μB per cell
Volume: 14.35 A^3/atom